No. 1
TbNd2Sm4Ho2 after structural relaxation, computed with PBE.

abc: 6.0699 6.7071 8.6806
angles: 79.86 70.52 64.91
With the nearest neighbours (Å) after each atom.
Space group P-1 (No. 2)
One atom of each set of equivalent atoms:
1 Tb 0.0000 0.0000 0.0000  4 Sm 3.36-3.63, 2 Nd 3.51
2 Nd 0.2680 0.6757 0.6569  5 Sm 3.43-3.75, 1 Tb 3.51, 4 Ho 3.51-3.56, 1 Nd 3.52
3 Sm 0.2639 0.4199 0.1169  4 Sm 3.38-3.77, 2 Nd 3.43-3.75, 2 Ho 3.57-3.74, 1 Tb 3.63
4 Sm 0.3779 0.8715 0.2413  1 Tb 3.36, 3 Ho 3.46-3.54, 2 Sm 3.48-3.50, 3 Nd 3.51-3.73
5 Ho 0.1800 0.2291 0.5561  5 Sm 3.46-3.74, 4 Nd 3.51-3.56, 2 Ho 3.52-3.73, 1 Tb 3.86

Properties
DOS(E_F): 13.68 states/eV/cell
volume: 33.50 A^3/atom
VASP energy: -41.52 eV per cell


No. 2
Tb6Nd3SmHo2 after structural relaxation, computed with PBE.

abc: 6.2226 10.7732 11.8863
angles: 90.00 100.02 90.00
With the nearest neighbours (Å) after each atom.
Space group C2/m (No. 12)
One atom of each set of equivalent atoms:
1 Tb 0.2487 0.0000 0.2468  1 Sm 3.56, 2 Ho 3.56, 6 Tb 3.59-3.60, 3 Nd 3.62
2 Tb 0.2505 0.1669 0.7532  2 Ho 3.55-3.56, 1 Sm 3.56, 6 Tb 3.59-3.60, 3 Nd 3.61-3.62
3 Nd 0.0000 0.0000 0.5000  6 Nd 3.59, 6 Tb 3.62
4 Nd 0.0000 0.3332 0.5000  6 Nd 3.59, 6 Tb 3.61-3.62
5 Sm 0.0000 0.5000 0.0000  6 Tb 3.56, 6 Ho 3.59
6 Ho 0.0000 0.1667 0.0000  6 Tb 3.55-3.56, 3 Sm 3.59, 3 Ho 3.59

Properties
DOS(E_F): 30.89 states/eV/cell
volume: 32.69 A^3/atom
VASP energy: -111.55 eV per cell